[1]
Here is Tm2FeRu3 after structural relaxation from the Alexandria database. Energies are from PBE-GGA.

```
12
Lattice="-3.235 -3.007 -2.937 2.149 -1.965 4.433 -6.612 2.781 4.438" Properties=species:S:1:pos:R:3 pbc="T T T"
Tm -1.878 -2.475 -0.186
Ru -2.004 -2.919 2.851
Tm -3.389 -0.737 4.489
Tm -4.309 -1.453 1.445
Fe 0.000 0.000 0.000
Ru -1.472 -0.484 2.118
Ru -5.694 0.729 3.083
Ru -6.226 -1.706 3.817
Fe -3.306 1.390 2.219
Tm -5.820 0.285 6.121
Ru -0.420 -1.447 4.289
Ru -7.279 -0.744 1.645
```

## Properties
- Formation energy from the elements: -0.3240 eV per atom


[2]
Here is ZnBr3O after structural relaxation from the Alexandria database. Energies are from PBE-GGA.

```
10
Lattice="7.583 0.000 0.014 0.000 3.227 0.000 -6.374 0.000 12.072" Properties=species:S:1:pos:R:3 pbc="T T T"
O 1.339 1.614 1.338
O -1.847 0.000 7.374
Br 1.772 1.614 4.301
Zn -2.204 1.614 8.507
Zn 0.983 0.000 2.470
Br -4.979 1.614 11.530
Br -1.792 0.000 5.494
Br 6.019 0.000 2.737
Br 2.832 1.614 8.774
Br -1.414 0.000 10.338
```


no.,calculated volume (Å³/atom),E (eV per atom)
1,17.13,-7.8629
2,29.58,-2.6405